PrY4Hg | PBE | relaxed

extended XYZ file:
```
12
Lattice="4.439 -7.062 0.000 4.439 7.062 0.000 -2.170 0.000 6.000" Properties=species:S:1:pos:R:3 pbc="T T T"
Pr 2.811 5.517 4.500
Pr 3.896 -5.517 1.500
Y 0.063 1.451 5.142
Y 2.584 2.641 2.674
Y 1.147 -1.451 2.142
Y 5.209 2.641 0.326
Y 1.499 -2.641 5.674
Y 5.560 1.451 3.857
Y 4.124 -2.641 3.326
Y 6.645 -1.451 0.857
Hg 3.896 0.007 1.500
Hg 2.811 -0.007 4.500
```

Properties
- total energy (eV/atom) = -5.225
- formation energy from the elements (meV per atom) = -69